Entry 1:
DFT (PBE-GGA) results for a relaxed structure of Pm6ErS8.

## Properties
**Magnetization**: 0.039 μB per cell
**Uncorrected energy**: -6.474 eV/atom

a = 8.024 Å, b = 8.024 Å, c = 8.024 Å
α = 60.00°, β = 60.00°, γ = 60.00°
Atoms (fractional coordinates):
S: 0.243 0.757 0.243
S: 0.757 0.243 0.243
S: 0.757 0.243 0.757
S: 0.750 0.750 0.750
S: 0.757 0.757 0.243
S: 0.250 0.250 0.250
S: 0.243 0.243 0.757
S: 0.243 0.757 0.757
Pm: 0.000 0.500 0.000
Pm: 0.500 0.000 0.500
Pm: 0.500 0.500 0.000
Pm: 0.000 0.500 0.500
Pm: 0.500 0.000 0.000
Pm: 0.000 0.000 0.500
Er: 0.000 0.000 0.000


Entry 2:
DFT (PBE-GGA) results for a relaxed structure of PmErSb2.

## Properties
**Magnetization**: 0.001 μB per cell
**Uncorrected energy**: -5.516 eV/atom

a = 4.420 Å, b = 4.420 Å, c = 6.251 Å
α = 90.00°, β = 90.00°, γ = 90.00°
Atoms (fractional coordinates):
Sb: 0.000 0.000 0.000
Sb: 0.500 0.500 0.500
Pm: 0.500 0.500 0.000
Er: 0.000 0.000 0.500


Entry 3:
DFT (PBE-GGA) results for a relaxed structure of PmErSb.

## Properties
**Magnetization**: 0.026 μB per cell
**Uncorrected energy**: -5.026 eV/atom

a = 5.112 Å, b = 5.112 Å, c = 5.112 Å
α = 60.00°, β = 60.00°, γ = 60.00°
Atoms (fractional coordinates):
Er: 0.250 0.250 0.250
Sb: 0.000 0.000 0.000
Pm: 0.750 0.750 0.750


Entry 4:
DFT (PBE-GGA) results for a relaxed structure of PmErSe2.

## Properties
**Magnetization**: 0.010 μB per cell
**Uncorrected energy**: -5.814 eV/atom

a = 4.112 Å, b = 4.112 Å, c = 5.819 Å
α = 90.00°, β = 90.00°, γ = 90.00°
Atoms (fractional coordinates):
Se: 0.500 0.500 0.500
Se: 0.000 0.000 0.000
Er: 0.000 0.000 0.500
Pm: 0.500 0.500 0.000


Entry 5:
DFT (PBE-GGA) results for a relaxed structure of PmEr4Se5.

## Properties
**Magnetization**: 0.013 μB per cell
**Uncorrected energy**: -5.766 eV/atom

a = 16.782 Å, b = 16.782 Å, c = 16.782 Å
α = 13.88°, β = 13.88°, γ = 13.88°
Atoms (fractional coordinates):
Er: 0.098 0.098 0.098
Er: 0.301 0.301 0.301
Er: 0.902 0.902 0.902
Er: 0.699 0.699 0.699
Se: 0.399 0.399 0.399
Se: 0.601 0.601 0.601
Se: 0.797 0.797 0.797
Se: 0.000 0.000 0.000
Se: 0.203 0.203 0.203
Pm: 0.500 0.500 0.500


Entry 6:
DFT (PBE-GGA) results for a relaxed structure of Pm6ErSe8.

## Properties
**Magnetization**: 0.041 μB per cell
**Uncorrected energy**: -5.939 eV/atom

a = 8.333 Å, b = 8.333 Å, c = 8.333 Å
α = 60.00°, β = 60.00°, γ = 60.00°
Atoms (fractional coordinates):
Pm: 0.000 0.500 0.500
Pm: 0.500 0.000 0.000
Pm: 0.000 0.000 0.500
Pm: 0.500 0.500 0.000
Pm: 0.000 0.500 0.000
Pm: 0.500 0.000 0.500
Se: 0.754 0.246 0.754
Se: 0.750 0.750 0.750
Se: 0.246 0.246 0.754
Se: 0.246 0.754 0.754
Se: 0.246 0.754 0.246
Se: 0.754 0.754 0.246
Se: 0.250 0.250 0.250
Se: 0.754 0.246 0.246
Er: 0.000 0.000 0.000